No. 1
VASP calculation (SCAN) on NaBi5O8 at its PBEsol-relaxed geometry.

Cell lengths 7.220, 7.270, 10.322 Å; angles 70.22, 72.71, 79.12 degrees
Atoms (fractional coordinates):
Na: 0.238 0.398 0.454
Na: 0.762 0.602 0.546
Bi: 0.028 0.820 0.223
Bi: 0.034 0.374 0.182
Bi: 0.255 0.896 0.461
Bi: 0.390 0.264 0.848
Bi: 0.436 0.733 0.863
Bi: 0.564 0.267 0.137
Bi: 0.610 0.736 0.152
Bi: 0.745 0.104 0.539
Bi: 0.966 0.626 0.818
Bi: 0.972 0.180 0.777
O: 0.010 0.474 0.660
O: 0.021 0.095 0.583
O: 0.055 0.330 0.941
O: 0.298 0.138 0.721
O: 0.309 0.174 0.310
O: 0.324 0.474 0.072
O: 0.324 0.731 0.306
O: 0.360 0.578 0.747
O: 0.640 0.422 0.253
O: 0.676 0.269 0.694
O: 0.676 0.526 0.928
O: 0.691 0.826 0.690
O: 0.702 0.862 0.279
O: 0.945 0.670 0.059
O: 0.979 0.905 0.417
O: 0.990 0.526 0.340

## Properties
N(E_F)   0.0000 states/eV/atom
E_form (uncorrected)   -1.175 eV/atom

No. 2
VASP calculation (SCAN) on Nb3CoSe6 at its PBEsol-relaxed geometry.

Cell lengths 5.946, 5.946, 12.059 Å; angles 90.00, 90.00, 120.00 degrees
Atoms (fractional coordinates):
Nb: 0.000 0.000 0.000
Nb: 0.000 0.000 0.500
Nb: 0.333 0.667 0.000
Nb: 0.333 0.667 0.500
Nb: 0.667 0.333 0.000
Nb: 0.667 0.333 0.500
Co: 0.333 0.667 0.250
Co: 0.667 0.333 0.750
Se: 0.003 0.333 0.861
Se: 0.003 0.670 0.639
Se: 0.330 0.333 0.639
Se: 0.330 0.997 0.861
Se: 0.333 0.003 0.139
Se: 0.333 0.330 0.361
Se: 0.667 0.670 0.861
Se: 0.667 0.997 0.639
Se: 0.670 0.003 0.361
Se: 0.670 0.667 0.139
Se: 0.997 0.330 0.139
Se: 0.997 0.667 0.361

## Properties
N(E_F)   0.4919 states/eV/atom
E_form (uncorrected)   -0.843 eV/atom

No. 3
VASP calculation (SCAN) on ZnAg2Au at its PBEsol-relaxed geometry.

Cell lengths 4.892, 4.892, 4.848 Å; angles 102.67, 102.67, 34.51 degrees
Atoms (fractional coordinates):
Zn: 0.000 0.000 0.000
Ag: 0.501 0.501 0.502
Ag: 0.741 0.741 0.259
Au: 0.260 0.260 0.774

## Properties
N(E_F)   0.2410 states/eV/atom
DFT formation energy   -33 kJ/mol of formula units

No. 4
VASP calculation (SCAN) on ZrInOs at its PBEsol-relaxed geometry.

Cell lengths 4.515, 4.515, 4.515 Å; angles 60.00, 60.00, 60.00 degrees
Atoms (fractional coordinates):
Zr: 0.000 0.000 0.000
In: 0.750 0.750 0.750
Os: 0.250 0.250 0.250

## Properties
N(E_F)   0.9833 states/eV/atom
DFT formation energy   145 kJ/mol of formula units